Material: GaTe2F
Method: DFT, PBE
State: relaxed

POSCAR file:
```
GaTe2F
1.0
0.000 3.443 3.443
3.443 0.000 3.443
3.443 3.443 0.000
Ga Te F
1 2 1
direct
0.000 0.000 0.000
0.250 0.250 0.250
0.750 0.750 0.750
0.500 0.500 0.500
```

Results
Distance to the lowest polymorph of the same formula, eV per atom: 0.100
Formation energy without anion corrections, eV/atom: -0.37
Uncorrected energy, eV for the cell shown: -12.66